## 1
# AlTc2Cl

AlTc2Cl after structural relaxation (PBE, Alexandria via LeMat-Bulk).

It has space group I-42d (No. 122), with a = 7.016 Å, b = 7.016 Å, c = 5.209 Å, α = 90.00°, β = 90.00° and γ = 90.00°. The distinct sites, in fractional coordinates, are Al at (0.000, 0.000, 0.000), Tc at (0.173, 0.250, 0.625) and Cl at (0.000, 0.000, 0.500).

The value obtained for the density of states at the Fermi level is 0.502 states/eV per atom. The value obtained for the total magnetization is 0.0 μB/f.u.


## 2
# AlTc2Cl

AlTc2Cl after structural relaxation (PBE, Alexandria via LeMat-Bulk).

It has space group Cm (No. 8), with a = 9.948 Å, b = 2.833 Å, c = 4.489 Å, α = 90.00°, β = 94.44° and γ = 90.00°. The distinct sites, in fractional coordinates, are Al at (0.000, 0.000, 0.000), Tc at (0.051, 0.500, 0.526), Tc at (0.292, 0.000, 0.692) and Cl at (0.254, 0.500, 0.267).

The value obtained for the density of states at the Fermi level is 0.676 states/eV per atom. The value obtained for the total magnetization is 0.0 μB/f.u.


## 3
# AlTc2Cl

AlTc2Cl after structural relaxation (PBE, Alexandria via LeMat-Bulk).

It has space group Cmmm (No. 65), with a = 2.873 Å, b = 4.988 Å, c = 8.546 Å, α = 90.00°, β = 90.00° and γ = 90.00°. The distinct sites, in fractional coordinates, are Al at (0.000, 0.000, 0.000), Tc at (0.000, 0.500, 0.251) and Cl at (0.000, 0.000, 0.500).

The value obtained for the density of states at the Fermi level is 1.311 states/eV per atom. The value obtained for the total magnetization is 0.7 μB/f.u.


Short version: 3, 2, 1, most stable first.